No. 1
The following is a PBE calculation of a relaxed TiPbS2 crystal, from the Alexandria database.

**Formation energy without anion corrections**: -675 meV/atom
**Space group**: P3m1, No. 156
**D(E_F)**: 0.555 states/eV/atom

a b c (Å): 3.687 3.687 8.520
angles (deg): 90.00 90.00 120.00
Fractional positions:
Ti 0.000 0.000 0.000
Pb 0.667 0.333 0.490
S 0.000 0.000 0.266
S 0.333 0.667 0.874

***

No. 2
The following is a PBE calculation of a relaxed YbCO3 crystal, from the Alexandria database.

**Formation energy without anion corrections**: -2159 meV/atom
**Space group**: Pnma, No. 62
**D(E_F)**: 4.341 states/eV/atom

a b c (Å): 5.833 5.036 8.140
angles (deg): 90.00 90.00 90.00
Fractional positions:
Yb 0.243 0.250 0.085
Yb 0.257 0.750 0.585
Yb 0.743 0.250 0.415
Yb 0.757 0.750 0.915
C 0.080 0.250 0.739
C 0.420 0.750 0.239
C 0.580 0.250 0.761
C 0.920 0.750 0.261
O 0.083 0.026 0.820
O 0.083 0.474 0.820
O 0.091 0.250 0.580
O 0.409 0.750 0.080
O 0.417 0.526 0.320
O 0.417 0.974 0.320
O 0.583 0.026 0.680
O 0.583 0.474 0.680
O 0.591 0.250 0.920
O 0.909 0.750 0.420
O 0.917 0.526 0.180
O 0.917 0.974 0.180

***

No. 3
The following is a PBE calculation of a relaxed AcZnCo crystal, from the Alexandria database.

**Formation enthalpy at 0 K**: 98 meV/atom
**ΔE to the lowest computed polymorph**: 22.23 kJ/mol of atoms
**Space group**: F-43m, No. 216
**D(E_F)**: 0.758 states/eV/atom

a b c (Å): 4.654 4.654 4.654
angles (deg): 60.00 60.00 60.00
Fractional positions:
Ac 0.000 0.000 0.000
Zn 0.500 0.500 0.500
Co 0.750 0.750 0.750

***

No. 4
The following is a PBE calculation of a relaxed NaTh4Te5 crystal, from the Alexandria database.

**Formation energy without anion corrections**: -1094 meV/atom
**Space group**: P4/mmm, No. 123
**D(E_F)**: 0.506 states/eV/atom

a b c (Å): 3.860 3.860 19.584
angles (deg): 90.00 90.00 90.00
Fractional positions:
Na 0.000 0.000 0.000
Th 0.000 0.000 0.203
Th 0.000 0.000 0.401
Th 0.000 0.000 0.599
Th 0.000 0.000 0.797
Te 0.500 0.500 0.110
Te 0.500 0.500 0.303
Te 0.500 0.500 0.500
Te 0.500 0.500 0.697
Te 0.500 0.500 0.890

***

No. 5
The following is a PBE calculation of a relaxed Nd6Ag5Bi crystal, from the Alexandria database.

**Formation enthalpy at 0 K**: -333 meV/atom
**Space group**: Immm, No. 71
**D(E_F)**: 1.048 states/eV/atom

a b c (Å): 9.306 9.306 9.306
angles (deg): 146.70 131.53 60.08
Fractional positions:
Nd 0.077 0.331 0.746
Nd 0.243 0.000 0.243
Nd 0.416 0.669 0.746
Nd 0.584 0.331 0.254
Nd 0.757 0.000 0.757
Nd 0.923 0.669 0.254
Ag 0.000 0.500 0.500
Ag 0.167 0.167 0.000
Ag 0.330 0.830 0.500
Ag 0.670 0.170 0.500
Ag 0.833 0.833 0.000
Bi 0.500 0.500 0.000

***

No. 6
The following is a PBE calculation of a relaxed MgCoIr2 crystal, from the Alexandria database.

**Formation enthalpy at 0 K**: -20 meV/atom
**Space group**: P2/m, No. 10
**D(E_F)**: 1.105 states/eV/atom

a b c (Å): 2.741 4.200 5.205
angles (deg): 90.00 104.87 90.00
Fractional positions:
Mg 0.000 0.000 0.000
Co 0.000 0.000 0.500
Ir 0.378 0.500 0.733
Ir 0.622 0.500 0.267

***

No. 7
The following is a PBE calculation of a relaxed Nb6V2Tc crystal, from the Alexandria database.

**Formation enthalpy at 0 K**: 60 meV/atom
**ΔE to the lowest computed polymorph**: 0.00 kJ/mol of atoms
**Space group**: P-1, No. 2
**D(E_F)**: 1.068 states/eV/atom

a b c (Å): 2.764 7.162 8.002
angles (deg): 99.09 96.32 98.52
Fractional positions:
Nb 0.006 0.166 0.271
Nb 0.247 0.832 0.390
Nb 0.305 0.495 0.830
Nb 0.695 0.505 0.170
Nb 0.753 0.168 0.610
Nb 0.994 0.834 0.729
V 0.305 0.841 0.058
V 0.695 0.159 0.942
Tc 0.500 0.500 0.500

***

No. 8
The following is a PBE calculation of a relaxed SmGd2I crystal, from the Alexandria database.

**Formation energy without anion corrections**: -377 meV/atom
**ΔE to the lowest computed polymorph**: 0.00 kJ/mol of atoms
**Space group**: R-3m, No. 166
**D(E_F)**: 1.757 states/eV/atom

a b c (Å): 10.834 10.834 10.834
angles (deg): 20.10 20.10 20.10
Fractional positions:
Sm 0.000 0.000 0.000
Gd 0.245 0.245 0.245
Gd 0.755 0.755 0.755
I 0.500 0.500 0.500

***

No. 9
The following is a PBE calculation of a relaxed TaBW3 crystal, from the Alexandria database.

**Formation enthalpy at 0 K**: 194 meV/atom
**ΔE to the lowest computed polymorph**: 0.00 kJ/mol of atoms
**Space group**: Pm-3m, No. 221
**D(E_F)**: 1.097 states/eV/atom

a b c (Å): 4.245 4.245 4.245
angles (deg): 90.00 90.00 90.00
Fractional positions:
Ta 0.000 0.000 0.000
B 0.500 0.500 0.500
W 0.000 0.500 0.500
W 0.500 0.000 0.500
W 0.500 0.500 0.000

***

No. 10
The following is a PBE calculation of a relaxed Al3SBr crystal, from the Alexandria database.

**Formation energy without anion corrections**: 381 meV/atom
**ΔE to the lowest computed polymorph**: 0.00 kJ/mol of atoms
**Space group**: Pm-3m, No. 221
**D(E_F)**: 0.401 states/eV/atom

a b c (Å): 5.085 5.085 5.085
angles (deg): 90.00 90.00 90.00
Fractional positions:
Al 0.000 0.000 0.500
Al 0.000 0.500 0.000
Al 0.500 0.000 0.000
S 0.000 0.000 0.000
Br 0.500 0.500 0.500

***

No. 11
The following is a PBE calculation of a relaxed Tm4AgIr3 crystal, from the Alexandria database.

**Formation enthalpy at 0 K**: -808 meV/atom
**Space group**: R-3m, No. 166
**D(E_F)**: 0.567 states/eV/atom

a b c (Å): 8.396 8.396 8.396
angles (deg): 33.49 33.49 33.49
Fractional positions:
Tm 0.122 0.122 0.122
Tm 0.372 0.372 0.372
Tm 0.628 0.628 0.628
Tm 0.878 0.878 0.878
Ag 0.500 0.500 0.500
Ir 0.000 0.000 0.000
Ir 0.249 0.249 0.249
Ir 0.751 0.751 0.751

***

No. 12
The following is a PBE calculation of a relaxed TaBeAg2 crystal, from the Alexandria database.

**Formation enthalpy at 0 K**: 515 meV/atom
**Space group**: C2/m, No. 12
**D(E_F)**: 0.867 states/eV/atom

a b c (Å): 5.642 5.642 2.685
angles (deg): 101.97 101.97 121.95
Fractional positions:
Ta 0.000 0.000 0.000
Be 0.500 0.500 0.000
Ag 0.000 0.500 0.500
Ag 0.500 0.000 0.500

***

No. 13
The following is a PBE calculation of a relaxed TlC crystal, from the Alexandria database.

**Formation enthalpy at 0 K**: 2085 meV/atom
**ΔE to the lowest computed polymorph**: 125.53 kJ/mol of atoms
**Space group**: R-3m, No. 166
**D(E_F)**: 0.654 states/eV/atom

a b c (Å): 6.930 6.930 6.930
angles (deg): 32.65 32.65 32.65
Fractional positions:
Tl 0.097 0.097 0.097
Tl 0.903 0.903 0.903
C 0.234 0.234 0.234
C 0.766 0.766 0.766

***

No. 14
The following is a PBE calculation of a relaxed Li3TcN3 crystal, from the Alexandria database.

**Formation energy without anion corrections**: -409 meV/atom
**Space group**: C2/m, No. 12

a b c (Å): 5.710 5.710 5.576
angles (deg): 95.07 95.07 115.08
Fractional positions:
Li 0.188 0.812 0.000
Li 0.272 0.728 0.500
Li 0.380 0.380 0.148
Li 0.620 0.620 0.852
Li 0.728 0.272 0.500
Li 0.812 0.188 0.000
Tc 0.192 0.192 0.644
Tc 0.808 0.808 0.356
N 0.108 0.108 0.284
N 0.183 0.490 0.759
N 0.490 0.183 0.759
N 0.510 0.817 0.241
N 0.817 0.510 0.241
N 0.892 0.892 0.716

***

No. 15
The following is a PBE calculation of a relaxed Sc3Zn3N crystal, from the Alexandria database.

**Formation energy without anion corrections**: -816 meV/atom
**Space group**: Fd-3m, No. 227
**D(E_F)**: 0.656 states/eV/atom

a b c (Å): 8.548 8.548 8.548
angles (deg): 60.00 60.00 60.00
Fractional positions:
Sc 0.061 0.061 0.689
Sc 0.061 0.689 0.061
Sc 0.061 0.689 0.689
Sc 0.311 0.311 0.939
Sc 0.311 0.939 0.311
Sc 0.311 0.939 0.939
Sc 0.689 0.061 0.061
Sc 0.689 0.061 0.689
Sc 0.689 0.689 0.061
Sc 0.939 0.311 0.311
Sc 0.939 0.311 0.939
Sc 0.939 0.939 0.311
Zn 0.000 0.500 0.500
Zn 0.294 0.294 0.294
Zn 0.294 0.294 0.618
Zn 0.294 0.618 0.294
Zn 0.382 0.706 0.706
Zn 0.500 0.000 0.500
Zn 0.500 0.500 0.000
Zn 0.500 0.500 0.500
Zn 0.618 0.294 0.294
Zn 0.706 0.382 0.706
Zn 0.706 0.706 0.382
Zn 0.706 0.706 0.706
N 0.000 0.000 0.000
N 0.000 0.000 0.500
N 0.000 0.500 0.000
N 0.500 0.000 0.000

***

No. 16
The following is a PBE calculation of a relaxed Pr2SmTmTe6 crystal, from the Alexandria database.

**Formation energy without anion corrections**: -1367 meV/atom
**Space group**: R3, No. 146

a b c (Å): 8.436 8.436 8.436
angles (deg): 55.78 55.78 55.78
Fractional positions:
Pr 0.000 0.000 0.000
Pr 0.499 0.499 0.499
Sm 0.191 0.191 0.191
Tm 0.690 0.690 0.690
Te 0.076 0.422 0.798
Te 0.304 0.913 0.585
Te 0.422 0.798 0.076
Te 0.585 0.304 0.913
Te 0.798 0.076 0.422
Te 0.913 0.585 0.304

***

No. 17
The following is a PBE calculation of a relaxed Ag2IF2 crystal, from the Alexandria database.

**Formation energy without anion corrections**: -730 meV/atom
**ΔE to the lowest computed polymorph**: 5.53 kJ/mol of atoms
**Space group**: C2/m, No. 12
**D(E_F)**: 0.901 states/eV/atom

a b c (Å): 4.046 4.046 5.945
angles (deg): 103.37 103.37 86.81
Fractional positions:
Ag 0.183 0.183 0.273
Ag 0.817 0.817 0.727
I 0.500 0.500 0.000
F 0.240 0.760 0.500
F 0.760 0.240 0.500

***

No. 18
The following is a PBE calculation of a relaxed K2TaHg crystal, from the Alexandria database.

**Formation enthalpy at 0 K**: 754 meV/atom
**Space group**: P4mm, No. 99
**D(E_F)**: 0.864 states/eV/atom

a b c (Å): 3.409 3.409 11.302
angles (deg): 90.00 90.00 90.00
Fractional positions:
K 0.000 0.000 0.000
K 0.500 0.500 0.371
Ta 0.000 0.000 0.626
Hg 0.500 0.500 0.765

***

No. 19
The following is a PBE calculation of a relaxed Li2Ti2O5 crystal, from the Alexandria database.

**Formation energy without anion corrections**: -2739 meV/atom
**ΔE to the lowest computed polymorph**: 0.00 kJ/mol of atoms
**Space group**: Ccc2, No. 37
**D(E_F)**: 0.000 states/eV/atom

a b c (Å): 8.473 8.473 5.290
angles (deg): 90.00 90.00 137.12
Fractional positions:
Li 0.095 0.205 0.000
Li 0.205 0.095 0.500
Li 0.795 0.905 0.500
Li 0.905 0.795 0.000
Ti 0.202 0.485 0.504
Ti 0.485 0.202 0.004
Ti 0.515 0.798 0.004
Ti 0.798 0.515 0.504
O 0.000 0.500 0.568
O 0.089 0.223 0.619
O 0.223 0.089 0.119
O 0.265 0.511 0.160
O 0.489 0.735 0.660
O 0.500 0.000 0.068
O 0.511 0.265 0.660
O 0.735 0.489 0.160
O 0.777 0.911 0.119
O 0.911 0.777 0.619

***

No. 20
The following is a PBE calculation of a relaxed CsTiI2 crystal, from the Alexandria database.

**Formation energy without anion corrections**: -449 meV/atom
**ΔE to the lowest computed polymorph**: 10.05 kJ/mol of atoms
**Space group**: R-3m, No. 166
**D(E_F)**: 1.653 states/eV/atom

a b c (Å): 10.937 10.937 10.937
angles (deg): 23.52 23.52 23.52
Fractional positions:
Cs 0.000 0.000 0.000
Ti 0.500 0.500 0.500
I 0.119 0.119 0.119
I 0.881 0.881 0.881

***

No. 21
The following is a PBE calculation of a relaxed KYRe2 crystal, from the Alexandria database.

**Formation enthalpy at 0 K**: 1123 meV/atom
**ΔE to the lowest computed polymorph**: 58.05 kJ/mol of atoms
**Space group**: R-3m, No. 166
**D(E_F)**: 1.055 states/eV/atom

a b c (Å): 11.332 11.332 11.332
angles (deg): 14.66 14.66 14.66
Fractional positions:
K 0.000 0.000 0.000
Y 0.500 0.500 0.500
Re 0.245 0.245 0.245
Re 0.755 0.755 0.755

***

No. 22
The following is a PBE calculation of a relaxed ErSn2S4 crystal, from the Alexandria database.

**Formation energy without anion corrections**: -908 meV/atom
**Space group**: Cmcm, No. 63
**D(E_F)**: 0.402 states/eV/atom

a b c (Å): 6.882 6.882 13.278
angles (deg): 90.00 90.00 148.15
Fractional positions:
Er 0.118 0.882 0.750
Er 0.882 0.118 0.250
Sn 0.369 0.631 0.569
Sn 0.369 0.631 0.931
Sn 0.631 0.369 0.069
Sn 0.631 0.369 0.431
S 0.000 0.000 0.000
S 0.000 0.000 0.500
S 0.286 0.714 0.126
S 0.286 0.714 0.374
S 0.473 0.527 0.750
S 0.527 0.473 0.250
S 0.714 0.286 0.626
S 0.714 0.286 0.874

***

No. 23
The following is a PBE calculation of a relaxed AsPtCSe2 crystal, from the Alexandria database.

**Formation energy without anion corrections**: 1819 meV/atom
**ΔE to the lowest computed polymorph**: 63.94 kJ/mol of atoms
**Space group**: P4/mmm, No. 123
**D(E_F)**: 1.081 states/eV/atom

a b c (Å): 5.147 5.147 4.684
angles (deg): 90.00 90.00 90.00
Fractional positions:
As 0.000 0.000 0.000
Pt 0.000 0.000 0.500
C 0.500 0.500 0.000
Se 0.000 0.500 0.500
Se 0.500 0.000 0.500

***

No. 24
The following is a PBE calculation of a relaxed Mg2AsPb crystal, from the Alexandria database.

**Formation enthalpy at 0 K**: -154 meV/atom
**ΔE to the lowest computed polymorph**: 6.72 kJ/mol of atoms
**Space group**: P2/m, No. 10
**D(E_F)**: 0.352 states/eV/atom

a b c (Å): 3.821 3.835 6.499
angles (deg): 90.00 100.73 90.00
Fractional positions:
Mg 0.062 0.000 0.281
Mg 0.938 0.000 0.719
As 0.500 0.500 0.500
Pb 0.500 0.500 0.000

***

In Å³ per cell, the calculated volume values for the records above are, in order, 100 239 71 292 328 58 153 131 76 131 160 66 86 162 442 383 92 131 258 183 81 332 124 94.